[1]
Crystalline NaPmTm at its relaxed geometry, computed with PBE.

abc: 5.6244 5.6241 7.1378
angles: 90.00 90.00 60.00
Closest atoms and distances in Å follow each position.
Element x y z (fractional)
Pm (0.2955, 0.6453, 0.5226)  1 Pm 3.31, 6 Tm 3.64-3.65
Pm (0.2955, 0.6453, 0.0589)  1 Pm 3.31, 6 Tm 3.64-3.65
Na (0.6283, 0.9787, 0.7902)  3 Na 3.25, 2 Tm 3.57
Na (0.9617, 0.3120, 0.7915)  3 Na 3.25, 2 Tm 3.57
Tm (0.6290, 0.9786, 0.2905)  3 Tm 3.25, 2 Na 3.57
Tm (0.9623, 0.3119, 0.2911)  3 Tm 3.25, 2 Na 3.57

## Properties
V   98 Å³/f.u.
Symmetry   P-3m1
Energy of formation   0.181 eV/atom

---

[2]
Crystalline Pm2Pr3PuN6 at its relaxed geometry, computed with PBE.

abc: 6.2547 6.2547 6.2745
angles: 99.61 99.61 119.91
Closest atoms and distances in Å follow each position.
Element x y z (fractional)
N (0.9229, 0.6103, 0.7682)  1 Pu 2.39, 2 Pm 2.55-2.56, 2 Pr 2.57
N (0.0771, 0.3897, 0.2318)  1 Pu 2.39, 2 Pm 2.55-2.56, 2 Pr 2.57
N (0.6103, 0.9229, 0.7682)  1 Pu 2.39, 2 Pm 2.55-2.56, 2 Pr 2.57
N (0.7625, 0.7625, 0.2367)  1 Pu 2.43, 2 Pm 2.55, 3 Pr 2.56-2.69
N (0.3897, 0.0771, 0.2318)  1 Pu 2.39, 2 Pm 2.55-2.56, 2 Pr 2.57
N (0.2375, 0.2375, 0.7633)  1 Pu 2.43, 2 Pm 2.55, 3 Pr 2.56-2.69
Pr (0.8339, 0.1661, 0.5000)  6 N 2.56-2.73
Pr (0.5000, 0.5000, 0.5000)  6 N 2.57-2.69
Pr (0.1661, 0.8339, 0.5000)  6 N 2.56-2.73
Pu (0.0000, 0.0000, 0.0000)  6 N 2.39-2.43
Pm (0.6663, 0.3337, 0.0000)  6 N 2.55-2.56
Pm (0.3337, 0.6663, 0.0000)  6 N 2.55-2.56

## Properties
V   201 Å³/f.u.
E_form (uncorrected)   -1336 meV/atom
Symmetry   C2/m

---

In states/eV/f.u., the Fermi-level density of states values for the records above are, in order, 3.082 7.349.